# Y2Ga2Cu

A geometry-optimized Y2Ga2Cu structure (GGA-PBE, Alexandria).

Properties
The value obtained for the energy above the lowest structure with this stoichiometry is 87.1 meV per atom. The calculation puts the total DFT energy (no corrections) at -5.106 eV/atom. The calculated density comes out at 6.0 g/cm3.

Structure (POSCAR):
```
Y2Ga2Cu
1.0
6.8626 0.0000 0.0000
0.0000 6.8626 0.0000
0.0000 0.0000 4.5123
Y Ga Cu
4 4 2
Cartesian
1.1716 2.2597 0.0000
2.2597 5.6910 0.0000
4.6029 1.1716 0.0000
5.6910 4.6029 0.0000
0.9335 4.3648 2.2562
2.4978 0.9335 2.2562
4.3648 5.9291 2.2562
5.9291 2.4978 2.2562
0.0000 0.0000 2.2562
3.4313 3.4313 2.2562
```

# YGaCu11

A geometry-optimized YGaCu11 structure (GGA-PBE, Alexandria).

Properties
The calculation puts the total DFT energy (no corrections) at -4.319 eV/atom. The calculated density comes out at 8.1 g/cm3.

Structure (POSCAR):
```
YGaCu11
1.0
2.4235 -5.9888 0.0000
2.4235 5.9888 0.0000
-2.3548 0.0000 6.0944
Y Ga Cu
1 1 11
Cartesian
0.0000 0.0000 0.0000
1.2461 0.0000 3.0472
-1.1774 0.0000 3.0472
1.2117 2.9944 0.0000
0.0965 3.8380 3.9506
0.0655 1.3365 4.7547
2.3957 3.8380 2.1438
2.4267 1.3365 1.3397
1.2117 -2.9944 0.0000
0.0655 -1.3365 4.7547
0.0965 -3.8380 3.9506
2.4267 -1.3365 1.3397
2.3957 -3.8380 2.1438
```

# Y2Ga8Cu

A geometry-optimized Y2Ga8Cu structure (GGA-PBE, Alexandria).

Properties
The calculation puts the total DFT energy (no corrections) at -4.158 eV/atom. The calculated density comes out at 6.4 g/cm3.

Structure (POSCAR):
```
Y2Ga8Cu
1.0
4.3186 0.0000 0.0000
0.0000 4.3186 0.0000
0.0000 0.0000 11.1338
Y Ga Cu
2 8 1
Cartesian
0.0000 0.0000 2.1338
0.0000 0.0000 9.0000
0.0000 2.1593 0.0000
0.0000 2.1593 4.1999
0.0000 2.1593 6.9339
2.1593 0.0000 0.0000
2.1593 0.0000 4.1999
2.1593 0.0000 6.9339
2.1593 2.1593 2.1966
2.1593 2.1593 8.9372
0.0000 0.0000 5.5669
```

# Y3GaCu

A geometry-optimized Y3GaCu structure (GGA-PBE, Alexandria).

Properties
The value obtained for the energy above the lowest structure with this stoichiometry is 0.0 meV per atom. The calculation puts the total DFT energy (no corrections) at -5.217 eV/atom. The calculated density comes out at 4.6 g/cm3.

Structure (POSCAR):
```
Y3GaCu
1.0
5.2507 0.0000 0.0000
0.0000 5.2507 0.0000
0.0000 0.0000 5.2507
Y Ga Cu
3 1 1
Cartesian
0.0000 0.0000 2.6254
0.0000 2.6254 0.0000
2.6254 0.0000 0.0000
2.6254 2.6254 2.6254
0.0000 0.0000 0.0000
```

# YGa2Cu4

A geometry-optimized YGa2Cu4 structure (GGA-PBE, Alexandria).

Properties
The value obtained for the energy above the lowest structure with this stoichiometry is 0.0 meV per atom. The calculation puts the total DFT energy (no corrections) at -4.410 eV/atom. The calculated density comes out at 7.4 g/cm3.

Structure (POSCAR):
```
YGa2Cu4
1.0
7.3358 0.0000 0.0000
0.0000 7.3358 0.0000
0.0000 0.0000 4.0333
Y Ga Cu
2 4 8
Cartesian
0.0000 0.0000 0.0000
3.6679 3.6679 2.0167
1.5568 1.5568 2.0167
2.1111 5.2247 0.0000
5.2247 2.1111 0.0000
5.7790 5.7790 2.0167
0.6994 4.7398 2.0167
1.0719 2.9684 0.0000
2.5960 6.6363 2.0167
2.9684 1.0719 0.0000
4.3673 6.2639 0.0000
4.7398 0.6994 2.0167
6.2639 4.3673 0.0000
6.6363 2.5960 2.0167
```

# YGaCu

A geometry-optimized YGaCu structure (GGA-PBE, Alexandria).

Properties
The calculation puts the total DFT energy (no corrections) at -5.020 eV/atom. The calculated density comes out at 6.2 g/cm3.

Structure (POSCAR):
```
YGaCu
1.0
4.2623 0.0000 0.0000
0.0000 4.2623 0.0000
0.0000 0.0000 6.5317
Y Ga Cu
2 2 2
Cartesian
1.0656 1.0656 1.2018
3.1967 3.1967 5.3299
1.0656 1.0656 4.6520
3.1967 3.1967 1.8797
1.0656 3.1967 3.2658
3.1967 1.0656 3.2658
```

# Y3Ga8Cu3

A geometry-optimized Y3Ga8Cu3 structure (GGA-PBE, Alexandria).

Properties
The value obtained for the energy above the lowest structure with this stoichiometry is 15.5 meV per atom. The calculation puts the total DFT energy (no corrections) at -4.462 eV/atom. The calculated density comes out at 6.7 g/cm3.

Structure (POSCAR):
```
Y3Ga8Cu3
1.0
7.8089 -2.1204 0.0000
7.8089 2.1204 0.0000
-5.7950 0.0000 7.6211
Y Ga Cu
3 8 3
Cartesian
0.0000 0.0000 0.0000
2.9417 0.0000 2.3911
6.8810 0.0000 5.2300
-2.7407 0.0000 6.5741
-0.1491 0.0000 3.2183
-0.1577 0.0000 7.3041
6.0187 0.0000 2.3393
3.8041 0.0000 5.2818
9.9804 0.0000 0.3170
9.9719 0.0000 4.4028
12.5635 0.0000 1.0471
-2.8975 0.0000 3.8106
1.3124 0.0000 5.3606
8.5103 0.0000 2.2605
```

# Y2GaCu

A geometry-optimized Y2GaCu structure (GGA-PBE, Alexandria).

Properties
The calculation puts the total DFT energy (no corrections) at -4.751 eV/atom. The calculated density comes out at 4.8 g/cm3.

Structure (POSCAR):
```
Y2GaCu
1.0
-2.3793 2.3793 9.4367
2.3793 -2.3793 9.4367
2.3793 2.3793 -9.4367
Y Ga Cu
4 2 2
Cartesian
3.5689 1.1835 -2.3592
1.1835 1.1896 2.3592
-1.1896 1.1958 7.0775
1.1958 1.1896 11.7959
2.3793 0.0000 4.7184
0.0000 0.0000 9.4367
0.0000 0.0000 0.0000
0.0000 2.3793 4.7184
```